Entry 1:
{"formula": "MgSc2Sb", "functional": "GGA-PBE", "state": "optimized geometry", "cell": [[-4.003, -0.514, 2.998], [-3.695, -3.167, -1.262], [-0.664, -4.251, 2.600]], "species": ["Sc", "Sc", "Sb", "Mg"], "frac_coords": [[0.250, 0.250, 0.250], [0.750, 0.750, 0.750], [0.500, 0.500, 0.500], [0.000, 0.000, 0.000]], "mass_density_g_cm3": 4.36, "magmom_total_mub_per_cell": 0.0, "space_group": "No. 225", "relative_energy_ev_per_atom": 0.136, "vol_a3_per_cell": 89.83}

Entry 2:
{"formula": "MgSc2Sb", "functional": "GGA-PBE", "state": "optimized geometry", "cell": [[3.810, 0.000, 0.000], [0.000, 3.805, 0.007], [0.000, 3.794, 6.285]], "species": ["Mg", "Sb", "Sc", "Sc"], "frac_coords": [[0.500, 0.250, 0.250], [0.500, 0.750, 0.750], [0.000, 0.008, 0.991], [0.000, 0.492, 0.509]], "mass_density_g_cm3": 4.30, "magmom_total_mub_per_cell": 0.8, "space_group": "No. 123", "relative_energy_ev_per_atom": 0.000, "vol_a3_per_cell": 91.03}

Entry 3:
{"formula": "Mg4ScSb", "functional": "GGA-PBE", "state": "optimized geometry", "cell": [[-4.615, 2.655, 2.436], [-2.948, 4.078, -2.994], [-5.401, -1.137, -1.956]], "species": ["Mg", "Mg", "Mg", "Mg", "Sc", "Sb"], "frac_coords": [[0.877, 0.374, 0.374], [0.374, 0.374, 0.877], [0.374, 0.877, 0.374], [0.374, 0.374, 0.374], [0.000, 0.000, 0.000], [0.750, 0.750, 0.750]], "mass_density_g_cm3": 3.09, "magmom_total_mub_per_cell": 0.0, "space_group": "No. 216", "vol_a3_per_cell": 141.95, "dft_energy_ev_per_cell": -16.6}

Entry 4:
{"formula": "MgSc3Sb", "functional": "GGA-PBE", "state": "optimized geometry", "cell": [[5.369, 0.000, 0.000], [0.000, 5.369, 0.000], [0.000, 0.000, 5.369]], "species": ["Sc", "Sc", "Sc", "Sb", "Mg"], "frac_coords": [[0.000, 0.500, 0.000], [0.000, 0.000, 0.500], [0.500, 0.000, 0.000], [0.000, 0.000, 0.000], [0.500, 0.500, 0.500]], "mass_density_g_cm3": 3.01, "magmom_total_mub_per_cell": 0.0, "space_group": "No. 221", "relative_energy_ev_per_atom": 0.000, "vol_a3_per_cell": 154.79}

Entry 5:
{"formula": "MgScTcSb2", "functional": "GGA-PBE", "state": "optimized geometry", "cell": [[-5.352, -0.312, -0.379], [0.454, -1.561, -5.114], [0.187, -5.132, 1.583]], "species": ["Sc", "Sb", "Sb", "Mg", "Tc"], "frac_coords": [[0.000, 0.000, 0.000], [0.000, 0.000, 0.500], [0.500, 0.000, 0.000], [0.000, 0.500, 0.000], [0.500, 0.500, 0.500]], "mass_density_g_cm3": 4.40, "magmom_total_mub_per_cell": 4.3, "space_group": "No. 123", "vol_a3_per_cell": 155.00, "dft_energy_ev_per_cell": -21.1}

Entry 6:
{"formula": "MgScSb2Te", "functional": "GGA-PBE", "state": "optimized geometry", "cell": [[5.486, 0.000, 0.000], [0.000, 5.486, 0.000], [0.000, 0.000, 5.515]], "species": ["Sc", "Sb", "Sb", "Mg", "Te"], "frac_coords": [[0.000, 0.000, 0.000], [0.000, 0.500, 0.000], [0.500, 0.000, 0.000], [0.500, 0.500, 0.500], [0.000, 0.000, 0.500]], "mass_density_g_cm3": 4.41, "magmom_total_mub_per_cell": 0.0, "space_group": "No. 123", "relative_energy_ev_per_atom": 0.000, "vol_a3_per_cell": 166.00}

Entry 7:
{"formula": "MgScSb2Te", "functional": "GGA-PBE", "state": "optimized geometry", "cell": [[-2.964, 3.508, 2.609], [-4.282, -2.966, -0.876], [0.917, -2.705, 4.678]], "species": ["Sc", "Sb", "Sb", "Mg", "Te"], "frac_coords": [[0.500, 0.500, 0.500], [0.000, 0.500, 0.000], [0.500, 0.000, 0.000], [0.000, 0.000, 0.000], [0.000, 0.000, 0.500]], "mass_density_g_cm3": 4.78, "magmom_total_mub_per_cell": 0.0, "space_group": "No. 123", "relative_energy_ev_per_atom": 0.261, "vol_a3_per_cell": 152.89}

Entry 8:
{"formula": "MgScSbTe2", "functional": "GGA-PBE", "state": "optimized geometry", "cell": [[-1.795, 0.343, 5.125], [5.078, -0.700, 1.825], [0.749, 5.201, -0.086]], "species": ["Sc", "Sb", "Mg", "Te", "Te"], "frac_coords": [[0.500, 0.500, 0.500], [0.000, 0.000, 0.500], [0.000, 0.000, 0.000], [0.000, 0.500, 0.000], [0.500, 0.000, 0.000]], "mass_density_g_cm3": 4.76, "magmom_total_mub_per_cell": 0.0, "space_group": "No. 123", "relative_energy_ev_per_atom": 0.273, "vol_a3_per_cell": 155.59}

Entry 9:
{"formula": "MgScSbTe2", "functional": "GGA-PBE", "state": "optimized geometry", "cell": [[-4.637, -1.310, 2.697], [-1.283, -3.622, -3.966], [2.714, -3.962, 2.741]], "species": ["Sc", "Sb", "Mg", "Te", "Te"], "frac_coords": [[0.000, 0.000, 0.000], [0.000, 0.000, 0.500], [0.500, 0.500, 0.500], [0.000, 0.500, 0.000], [0.500, 0.000, 0.000]], "mass_density_g_cm3": 4.39, "magmom_total_mub_per_cell": 0.0, "space_group": "No. 123", "relative_energy_ev_per_atom": 0.000, "vol_a3_per_cell": 168.64}

Entry 10:
{"formula": "MgScSbTe2", "functional": "GGA-PBE", "state": "optimized geometry", "cell": [[5.278, 0.000, 0.000], [0.000, 5.589, 0.000], [0.000, 0.000, 5.278]], "species": ["Sc", "Sb", "Mg", "Te", "Te"], "frac_coords": [[0.000, 0.500, 0.000], [0.500, 0.500, 0.500], [0.000, 0.000, 0.000], [0.000, 0.000, 0.500], [0.500, 0.000, 0.000]], "mass_density_g_cm3": 4.76, "magmom_total_mub_per_cell": 0.0, "space_group": "No. 123", "relative_energy_ev_per_atom": 0.488, "vol_a3_per_cell": 155.71}

Entry 11:
{"formula": "MgScZn2Sb", "functional": "GGA-PBE", "state": "optimized geometry", "cell": [[-2.903, -4.107, -1.101], [-1.136, -0.612, 5.280], [-4.114, 3.050, -0.532]], "species": ["Sc", "Sb", "Zn", "Zn", "Mg"], "frac_coords": [[0.000, 0.500, 0.000], [0.000, 0.000, 0.000], [0.000, 0.000, 0.500], [0.500, 0.000, 0.000], [0.500, 0.500, 0.500]], "mass_density_g_cm3": 3.71, "magmom_total_mub_per_cell": 0.0, "space_group": "No. 123", "vol_a3_per_cell": 144.10, "dft_energy_ev_per_cell": -12.6}

Entry 12:
{"formula": "MgSb2Se", "functional": "GGA-PBE", "state": "optimized geometry", "cell": [[5.150, -0.031, -0.014], [-1.729, 4.851, -0.014], [1.722, 2.426, 4.203]], "species": ["Mg", "Sb", "Sb", "Se"], "frac_coords": [[0.000, 0.500, 0.500], [0.000, 0.000, 0.000], [0.500, 0.500, 0.000], [0.500, 0.000, 0.500]], "mass_density_g_cm3": 5.48, "magmom_total_mub_per_cell": 0.0, "space_group": "No. 139", "relative_energy_ev_per_atom": 0.079, "vol_a3_per_cell": 105.13}